# 1
Density functional theory data (GGA-PBEsol) for a geometry-optimized HoMoO4F structure.

Values from the calculation:
Formation energy (no corrections): -2.880 eV/atom
E_tot: -8.543 eV per atom
M_tot: 0.00 μB/f.u.

Unit cell a=5.163 b=12.192 c=6.593 alpha=90.00 beta=113.75 gamma=90.00
Space group P2_1/c (No. 14)
Asymmetric unit:
Ho (0.140, 0.051, 0.300)
Mo (0.418, 0.143, 0.868)
O (0.190, 0.065, 0.964)
O (0.262, 0.653, 0.406)
O (0.306, 0.223, 0.294)
O (0.498, 0.069, 0.662)
F (0.037, 0.599, 0.959)

# 2
Density functional theory data (GGA-PBEsol) for a geometry-optimized NaHoF4 structure.

Values from the calculation:
Formation energy (no corrections): -3.740 eV/atom
E_tot: -6.083 eV per atom
M_tot: 0.00 μB/f.u.

Unit cell a=3.750 b=3.750 c=5.464 alpha=90.00 beta=90.00 gamma=90.00
Space group P4/mmm (No. 123)
Asymmetric unit:
Na (0.000, 0.000, 0.000)
Ho (0.500, 0.500, 0.500)
F (0.000, 0.500, 0.270)